Entry 1:
First-principles (SCAN) data for NaGe2Ir2 at its PBEsol-relaxed geometry, as listed in Alexandria.

- DFT total energy: -37.38 eV/atom
- Fermi-level density of states: 2.2 states/eV per cell
- SG: I4/mmm, No. 139
- Spin magnetization: 0.000 Bohr magnetons per cell

a b c (Å): 4.1109 4.1109 5.9390
angles (deg): 110.25 110.25 90.00
Last column: nearest neighbours and their distance in Å.
Positions (direct):
Na  0.0000  0.0000  0.0000  8 Ge 3.18, 8 Ir 3.31
Ge  0.3763  0.3763  0.7526  4 Ir 2.44, 1 Ge 2.56
Ge  0.6237  0.6237  0.2474  4 Ir 2.44, 1 Ge 2.56
Ir  0.2500  0.7500  0.5000  4 Ge 2.44
Ir  0.7500  0.2500  0.5000  4 Ge 2.44


Entry 2:
First-principles (SCAN) data for Na2Ge2Ir at its PBEsol-relaxed geometry, as listed in Alexandria.

- DFT total energy: -23.78 eV/atom
- Fermi-level density of states: 6.0 states/eV per cell
- SG: P4/mbm, No. 127
- Spin magnetization: 0.000 Bohr magnetons per cell

a b c (Å): 4.9340 6.3267 6.3267
angles (deg): 90.00 90.00 90.00
Last column: nearest neighbours and their distance in Å.
Positions (direct):
Na  0.5000  0.1825  0.6825  6 Ge 2.93-3.22, 5 Na 3.27-3.28
Na  0.5000  0.6825  0.8175  6 Ge 2.93-3.22, 5 Na 3.27-3.28
Na  0.5000  0.8175  0.3175  6 Ge 2.93-3.22, 5 Na 3.27-3.28
Na  0.5000  0.3175  0.1825  6 Ge 2.93-3.22, 5 Na 3.27-3.28
Ge  0.0000  0.3584  0.8584  2 Ir 2.44, 1 Ge 2.53
Ge  0.0000  0.8584  0.6416  2 Ir 2.44, 1 Ge 2.53
Ge  0.0000  0.6416  0.1416  2 Ir 2.44, 1 Ge 2.53
Ge  0.0000  0.1416  0.3584  2 Ir 2.44, 1 Ge 2.53
Ir  0.0000  0.0000  0.0000  4 Ge 2.44
Ir  0.0000  0.5000  0.5000  4 Ge 2.44


Entry 3:
First-principles (SCAN) data for NbGeIr at its PBEsol-relaxed geometry, as listed in Alexandria.

- DFT total energy: -41.79 eV/atom
- Fermi-level density of states: 2.3 states/eV per cell
- SG: Pnma, No. 62
- Spin magnetization: 0.000 Bohr magnetons per cell

a b c (Å): 3.8845 6.4472 7.3968
angles (deg): 90.00 90.00 90.00
Last column: nearest neighbours and their distance in Å.
Positions (direct):
Nb  0.2500  0.4738  0.8212  5 Ge 2.69-2.80, 5 Ir 2.93-3.01
Nb  0.7500  0.0262  0.3212  5 Ge 2.69-2.80, 5 Ir 2.93-3.01
Nb  0.2500  0.9738  0.6788  5 Ge 2.69-2.80, 5 Ir 2.93-3.01
Nb  0.7500  0.5262  0.1788  5 Ge 2.69-2.80, 5 Ir 2.93-3.01
Ge  0.7500  0.7590  0.8766  4 Ir 2.45-2.52, 3 Nb 2.69-2.71
Ge  0.7500  0.2590  0.6234  4 Ir 2.45-2.52, 3 Nb 2.69-2.71
Ge  0.2500  0.2410  0.1234  4 Ir 2.45-2.52, 3 Nb 2.69-2.71
Ge  0.2500  0.7410  0.3766  4 Ir 2.45-2.52, 3 Nb 2.69-2.71
Ir  0.7500  0.1434  0.9388  4 Ge 2.45-2.52
Ir  0.7500  0.6434  0.5612  4 Ge 2.45-2.52
Ir  0.2500  0.3566  0.4388  4 Ge 2.45-2.52
Ir  0.2500  0.8566  0.0612  4 Ge 2.45-2.52


Entry 4:
First-principles (SCAN) data for NbGeIr2S at its PBEsol-relaxed geometry, as listed in Alexandria.

- DFT total energy: -39.70 eV/atom
- Energy relative to the elements, uncorrected: 535 kJ/mol of formula units
- Fermi-level density of states: 3.2 states/eV per cell
- SG: P4/mmm, No. 123
- Spin magnetization: 1.154 Bohr magnetons per cell

a b c (Å): 4.4765 4.4765 4.6252
angles (deg): 90.00 90.00 90.00
Last column: nearest neighbours and their distance in Å.
Positions (direct):
S  0.0000  0.0000  0.5000  2 Ge 2.31
Nb  0.5000  0.5000  0.5000  4 S 3.17, 8 Ir 3.22
Ir  0.0000  0.5000  0.0000  2 Ge 2.24
Ir  0.5000  0.0000  0.0000  2 Ge 2.24
Ge  0.0000  0.0000  0.0000  4 Ir 2.24, 2 S 2.31


Entry 5:
First-principles (SCAN) data for Sr2NbGeIr at its PBEsol-relaxed geometry, as listed in Alexandria.

- DFT total energy: -33.29 eV/atom
- Fermi-level density of states: 3.7 states/eV per cell
- SG: P4/mmm, No. 123
- Spin magnetization: 1.747 Bohr magnetons per cell

a b c (Å): 4.7640 5.7129 5.7129
angles (deg): 90.00 90.00 90.00
Last column: nearest neighbours and their distance in Å.
Positions (direct):
Sr  0.0000  0.0000  0.5000  2 Ir 2.86
Sr  0.0000  0.5000  0.0000  2 Ir 2.86
Nb  0.5000  0.0000  0.0000  2 Ir 2.38
Ir  0.0000  0.0000  0.0000  2 Nb 2.38
Ge  0.5000  0.5000  0.5000  8 Sr 3.72, 4 Nb 4.04


Entry 6:
First-principles (SCAN) data for Nd3Ge13Ir4 at its PBEsol-relaxed geometry, as listed in Alexandria.

- DFT total energy: -33.78 eV/atom
- Fermi-level density of states: 13.5 states/eV per cell
- SG: Pm-3n, No. 223
- Spin magnetization: 0.000 Bohr magnetons per cell

a b c (Å): 9.0201 9.0201 9.0201
angles (deg): 90.00 90.00 90.00
Last column: nearest neighbours and their distance in Å.
Positions (direct):
Nd  0.0000  0.5000  0.7500  12 Ge 3.15-3.24, 4 Ir 3.19
Nd  0.5000  0.2500  0.0000  12 Ge 3.15-3.24, 4 Ir 3.19
Nd  0.7500  0.0000  0.5000  12 Ge 3.15-3.24, 4 Ir 3.19
Nd  0.0000  0.5000  0.2500  12 Ge 3.15-3.24, 4 Ir 3.19
Nd  0.5000  0.7500  0.0000  12 Ge 3.15-3.24, 4 Ir 3.19
Nd  0.2500  0.0000  0.5000  12 Ge 3.15-3.24, 4 Ir 3.19
Ge  0.5000  0.5000  0.5000  12 Ge 3.03
Ge  0.0000  0.0000  0.0000  12 Ge 3.03
Ge  0.8034  0.3547  0.5000  2 Ir 2.49, 1 Ge 2.62
Ge  0.6453  0.5000  0.8034  2 Ir 2.49, 1 Ge 2.62
Ge  0.5000  0.1966  0.6453  2 Ir 2.49, 1 Ge 2.62
Ge  0.1966  0.6453  0.5000  2 Ir 2.49, 1 Ge 2.62
Ge  0.3547  0.5000  0.1966  2 Ir 2.49, 1 Ge 2.62
Ge  0.5000  0.8034  0.3547  2 Ir 2.49, 1 Ge 2.62
Ge  0.8034  0.6453  0.5000  2 Ir 2.49, 1 Ge 2.62
Ge  0.6453  0.5000  0.1966  2 Ir 2.49, 1 Ge 2.62
Ge  0.1966  0.3547  0.5000  2 Ir 2.49, 1 Ge 2.62
Ge  0.3547  0.5000  0.8034  2 Ir 2.49, 1 Ge 2.62
Ge  0.5000  0.8034  0.6453  2 Ir 2.49, 1 Ge 2.62
Ge  0.5000  0.1966  0.3547  2 Ir 2.49, 1 Ge 2.62
Ge  0.3034  0.0000  0.8547  2 Ir 2.49, 1 Ge 2.62
Ge  0.1453  0.3034  0.0000  2 Ir 2.49, 1 Ge 2.62
Ge  0.0000  0.1453  0.6966  2 Ir 2.49, 1 Ge 2.62
Ge  0.6966  0.0000  0.1453  2 Ir 2.49, 1 Ge 2.62
Ge  0.8547  0.6966  0.0000  2 Ir 2.49, 1 Ge 2.62
Ge  0.0000  0.8547  0.3034  2 Ir 2.49, 1 Ge 2.62
Ge  0.3034  0.0000  0.1453  2 Ir 2.49, 1 Ge 2.62
Ge  0.1453  0.6966  0.0000  2 Ir 2.49, 1 Ge 2.62
Ge  0.6966  0.0000  0.8547  2 Ir 2.49, 1 Ge 2.62
Ge  0.8547  0.3034  0.0000  2 Ir 2.49, 1 Ge 2.62
Ge  0.0000  0.1453  0.3034  2 Ir 2.49, 1 Ge 2.62
Ge  0.0000  0.8547  0.6966  2 Ir 2.49, 1 Ge 2.62
Ir  0.7500  0.2500  0.7500  6 Ge 2.49
Ir  0.2500  0.7500  0.2500  6 Ge 2.49
Ir  0.7500  0.7500  0.2500  6 Ge 2.49
Ir  0.2500  0.2500  0.7500  6 Ge 2.49
Ir  0.2500  0.7500  0.7500  6 Ge 2.49
Ir  0.7500  0.2500  0.2500  6 Ge 2.49
Ir  0.2500  0.2500  0.2500  6 Ge 2.49
Ir  0.7500  0.7500  0.7500  6 Ge 2.49


Entry 7:
First-principles (SCAN) data for NdGeIr at its PBEsol-relaxed geometry, as listed in Alexandria.

- DFT total energy: -45.59 eV/atom
- Fermi-level density of states: 6.2 states/eV per cell
- SG: Pnma, No. 62
- Spin magnetization: 0.000 Bohr magnetons per cell

a b c (Å): 4.4242 7.0954 7.4635
angles (deg): 90.00 90.00 90.00
Last column: nearest neighbours and their distance in Å.
Positions (direct):
Nd  0.7500  0.0155  0.8048  5 Ir 2.95-3.26, 6 Ge 3.08-3.21
Nd  0.7500  0.5155  0.6952  5 Ir 2.95-3.26, 6 Ge 3.08-3.21
Nd  0.2500  0.9845  0.1952  5 Ir 2.95-3.26, 6 Ge 3.08-3.21
Nd  0.2500  0.4845  0.3048  5 Ir 2.95-3.26, 6 Ge 3.08-3.21
Ge  0.7500  0.1772  0.4154  4 Ir 2.57-2.66
Ge  0.7500  0.6772  0.0846  4 Ir 2.57-2.66
Ge  0.2500  0.8228  0.5846  4 Ir 2.57-2.66
Ge  0.2500  0.3228  0.9154  4 Ir 2.57-2.66
Ir  0.7500  0.8027  0.4092  4 Ge 2.57-2.66
Ir  0.7500  0.3027  0.0908  4 Ge 2.57-2.66
Ir  0.2500  0.1973  0.5908  4 Ge 2.57-2.66
Ir  0.2500  0.6973  0.9092  4 Ge 2.57-2.66


Entry 8:
First-principles (SCAN) data for NdGe2Ir at its PBEsol-relaxed geometry, as listed in Alexandria.

- DFT total energy: -39.18 eV/atom
- Fermi-level density of states: 5.9 states/eV per cell
- SG: Immm, No. 71
- Spin magnetization: 0.000 Bohr magnetons per cell

a b c (Å): 4.3469 8.8987 9.4283
angles (deg): 118.16 103.33 90.00
Last column: nearest neighbours and their distance in Å.
Positions (direct):
Nd  0.2068  0.7068  0.4136  8 Ge 2.99-3.08, 6 Ir 3.23-3.27
Nd  0.7932  0.2932  0.5864  8 Ge 2.99-3.08, 6 Ir 3.23-3.27
Nd  0.0000  0.7405  0.0000  4 Ir 3.20, 10 Ge 3.29-3.41
Nd  0.0000  0.2595  0.0000  4 Ir 3.20, 10 Ge 3.29-3.41
Ge  0.4226  0.4226  0.8451  1 Ge 2.48, 2 Ir 2.50
Ge  0.5774  0.5774  0.1549  1 Ge 2.48, 2 Ir 2.50
Ge  0.4212  0.9212  0.8423  2 Ir 2.46, 1 Ge 2.53
Ge  0.5788  0.0788  0.1577  2 Ir 2.46, 1 Ge 2.53
Ge  0.1989  0.0442  0.3978  3 Ir 2.48-2.63, 1 Ge 2.75
Ge  0.8011  0.9558  0.6022  3 Ir 2.48-2.63, 1 Ge 2.75
Ge  0.8011  0.6464  0.6022  3 Ir 2.48-2.63, 1 Ge 2.75
Ge  0.1989  0.3536  0.3978  3 Ir 2.48-2.63, 1 Ge 2.75
Ir  0.3537  0.1019  0.7073  5 Ge 2.46-2.63
Ir  0.6463  0.8981  0.2927  5 Ge 2.46-2.63
Ir  0.6463  0.3946  0.2927  5 Ge 2.46-2.63
Ir  0.3537  0.6054  0.7073  5 Ge 2.46-2.63